Cs3VF7 | Alexandria via LeMat-Bulk | PBE with a Hubbard U | relaxed; VASP energy = -108.97 eV for the cell shown; crystal system = tetragonal; symmetry = P4/mbm (127)
1.0
6.299 0.000 0.000
0.000 8.638 0.000
0.000 0.000 8.638
Cs F V
6 14 2
direct
0.500 0.306 0.194
0.500 0.194 0.694
0.500 0.806 0.306
0.500 0.694 0.806
0.000 0.000 0.000
0.000 0.500 0.500
0.000 0.156 0.656
0.210 0.609 0.109
0.210 0.891 0.609
0.500 0.500 0.500
0.790 0.109 0.391
0.790 0.891 0.609
0.000 0.344 0.156
0.210 0.109 0.391
0.210 0.391 0.891
0.000 0.656 0.844
0.500 0.000 0.000
0.790 0.391 0.891
0.790 0.609 0.109
0.000 0.844 0.344
0.000 0.500 0.000
0.000 0.000 0.500